Density functional theory data (PBE) for MgGaF after structural relaxation.

Output
As for the mass density: 3.85 g/cm³. For the density of states at the Fermi level, the calculation gives 0.54 states/eV/f.u. As for the uncorrected formation energy: -1.6631 eV per atom. The value obtained for the final energy is -68.89 eV/cell. The energy above the lowest structure with this stoichiometry is 0.005 eV/atom.

CIF file:
```
data_MgGaF
_symmetry_space_group_name_H-M 'R 3 m'
_symmetry_Int_Tables_number 160
_symmetry_space_group_name_Hall 'R 3 -2"'
_cell_length_a 3.2446
_cell_length_b 3.2446
_cell_length_c 32.0537
_cell_angle_alpha 90.00
_cell_angle_beta 90.00
_cell_angle_gamma 120.00
loop_
_atom_site_label
_atom_site_fract_x
_atom_site_fract_y
_atom_site_fract_z
_atom_site_occupancy
Mg1 0.0000 0.0000 0.0000 1
Mg2 0.0000 0.0000 0.4743 1
Ga1 0.0000 0.0000 0.2659 1
Ga2 0.0000 0.0000 0.8754 1
F1 0.0000 0.0000 0.1131 1
F2 0.0000 0.0000 0.6948 1
```



Density functional theory data (PBE) for CdNi2Pd2 after structural relaxation.

Output
As for the mass density: 9.83 g/cm³. For the density of states at the Fermi level, the calculation gives 6.33 states/eV/f.u. The value obtained for the final energy is -45.45 eV/cell. The energy above the lowest structure with this stoichiometry is 0.000 eV/atom.

CIF file:
```
data_CdNi2Pd2
_symmetry_space_group_name_H-M 'P 4/m b m'
_symmetry_Int_Tables_number 127
_symmetry_space_group_name_Hall '-P 4 2ab'
_cell_length_a 7.2136
_cell_length_b 7.2136
_cell_length_c 2.8725
_cell_angle_alpha 90.00
_cell_angle_beta 90.00
_cell_angle_gamma 90.00
loop_
_atom_site_label
_atom_site_fract_x
_atom_site_fract_y
_atom_site_fract_z
_atom_site_occupancy
Cd1 0.0000 0.0000 0.0000 1
Ni1 0.1178 0.3822 0.0000 1
Pd1 0.1771 0.6771 0.5000 1
```



Density functional theory data (PBE) for PuZn3Cl9 after structural relaxation.

Output
As for the mass density: 3.11 g/cm³. For the density of states at the Fermi level, the calculation gives 9.73 states/eV/f.u. As for the uncorrected formation energy: -1.3358 eV per atom. The value obtained for the final energy is -208.55 eV/cell.

CIF file:
```
data_PuZn3Cl9
_symmetry_space_group_name_H-M 'C 1 c 1'
_symmetry_Int_Tables_number 9
_symmetry_space_group_name_Hall 'C -2yc'
_cell_length_a 18.1671
_cell_length_b 8.9210
_cell_length_c 12.8682
_cell_angle_alpha 90.00
_cell_angle_beta 129.01
_cell_angle_gamma 90.00
loop_
_atom_site_label
_atom_site_fract_x
_atom_site_fract_y
_atom_site_fract_z
_atom_site_occupancy
Pu1 0.0000 0.2286 0.0000 1
Zn1 0.1449 0.1234 0.8305 1
Zn2 0.2288 0.4262 0.7055 1
Zn3 0.3539 0.0758 0.6632 1
Cl1 0.0205 0.0847 0.8306 1
Cl2 0.1195 0.3519 0.7302 1
Cl3 0.1450 0.0609 0.2053 1
Cl4 0.1550 0.3762 0.0583 1
Cl5 0.2380 0.2540 0.5801 1
Cl6 0.2984 0.1304 0.0264 1
Cl7 0.3650 0.4940 0.4069 1
Cl8 0.4025 0.0147 0.3655 1
Cl9 0.4773 0.1836 0.6828 1
```



Density functional theory data (PBE) for HoTmIrAu after structural relaxation.

Output
As for the mass density: 14.13 g/cm³. For the density of states at the Fermi level, the calculation gives 5.12 states/eV/f.u. The value obtained for the final energy is -24.70 eV/cell. The energy above the lowest structure with this stoichiometry is 0.000 eV/atom.

CIF file:
```
data_HoTmIrAu
_symmetry_space_group_name_H-M 'P 4 m m'
_symmetry_Int_Tables_number 99
_symmetry_space_group_name_Hall 'P 4 -2'
_cell_length_a 3.4861
_cell_length_b 3.4861
_cell_length_c 6.9910
_cell_angle_alpha 90.00
_cell_angle_beta 90.00
_cell_angle_gamma 90.00
loop_
_atom_site_label
_atom_site_fract_x
_atom_site_fract_y
_atom_site_fract_z
_atom_site_occupancy
Ho1 0.0000 0.0000 0.0000 1
Tm1 0.0000 0.0000 0.4658 1
Ir1 0.5000 0.5000 0.2355 1
Au1 0.5000 0.5000 0.7278 1
```



Density functional theory data (PBE) for Ho4Pt3Au after structural relaxation.

Output
As for the mass density: 13.35 g/cm³. For the density of states at the Fermi level, the calculation gives 5.27 states/eV/f.u. The value obtained for the final energy is -49.32 eV/cell.

CIF file:
```
data_Ho4Pt3Au
_symmetry_space_group_name_H-M 'P m m 2'
_symmetry_Int_Tables_number 25
_symmetry_space_group_name_Hall 'P 2 -2'
_cell_length_a 3.7337
_cell_length_b 4.5403
_cell_length_c 10.5810
_cell_angle_alpha 90.00
_cell_angle_beta 90.00
_cell_angle_gamma 90.00
loop_
_atom_site_label
_atom_site_fract_x
_atom_site_fract_y
_atom_site_fract_z
_atom_site_occupancy
Ho1 0.0000 0.0000 0.0000 1
Ho2 0.0000 0.5000 0.2683 1
Ho3 0.5000 0.0000 0.4861 1
Ho4 0.5000 0.5000 0.7707 1
Pt1 0.0000 0.5000 0.5426 1
Pt2 0.5000 0.0000 0.2185 1
Pt3 0.5000 0.5000 0.0409 1
Au1 0.0000 0.0000 0.7183 1
```



Density functional theory data (PBE) for MgTa2Os2 after structural relaxation.

Output
As for the mass density: 14.32 g/cm³. For the density of states at the Fermi level, the calculation gives 2.89 states/eV/f.u. The value obtained for the final energy is -95.40 eV/cell. The energy above the lowest structure with this stoichiometry is 0.110 eV/atom.

CIF file:
```
data_MgTa2Os2
_symmetry_space_group_name_H-M 'P 4/m b m'
_symmetry_Int_Tables_number 127
_symmetry_space_group_name_Hall '-P 4 2ab'
_cell_length_a 7.7581
_cell_length_b 7.7581
_cell_length_c 2.9537
_cell_angle_alpha 90.00
_cell_angle_beta 90.00
_cell_angle_gamma 90.00
loop_
_atom_site_label
_atom_site_fract_x
_atom_site_fract_y
_atom_site_fract_z
_atom_site_occupancy
Mg1 0.0000 0.0000 0.0000 1
Ta1 0.1458 0.3542 0.0000 1
Os1 0.1491 0.6491 0.5000 1
```



Density functional theory data (PBE) for LiIrRh2 after structural relaxation.

Output
As for the mass density: 12.40 g/cm³. For the density of states at the Fermi level, the calculation gives 4.05 states/eV/f.u. The value obtained for the final energy is -25.63 eV/cell. The energy above the lowest structure with this stoichiometry is 0.085 eV/atom.

CIF file:
```
data_LiIrRh2
_symmetry_space_group_name_H-M 'P 1 2/m 1'
_symmetry_Int_Tables_number 10
_symmetry_space_group_name_Hall '-P 2y'
_cell_length_a 2.6722
_cell_length_b 4.0506
_cell_length_c 5.1445
_cell_angle_alpha 90.00
_cell_angle_beta 103.15
_cell_angle_gamma 90.00
loop_
_atom_site_label
_atom_site_fract_x
_atom_site_fract_y
_atom_site_fract_z
_atom_site_occupancy
Li1 0.0000 0.0000 0.0000 1
Ir1 0.0000 0.0000 0.5000 1
Rh1 0.3892 0.5000 0.2424 1
```



Density functional theory data (PBE) for Ca2NiIr after structural relaxation.

Output
As for the mass density: 7.00 g/cm³. For the density of states at the Fermi level, the calculation gives 4.60 states/eV/f.u. The value obtained for the final energy is -36.64 eV/cell.

CIF file:
```
data_Ca2NiIr
_symmetry_space_group_name_H-M 'I -4 m 2'
_symmetry_Int_Tables_number 119
_symmetry_space_group_name_Hall 'I -4 -2'
_cell_length_a 4.1687
_cell_length_b 4.1687
_cell_length_c 9.0332
_cell_angle_alpha 90.00
_cell_angle_beta 90.00
_cell_angle_gamma 90.00
loop_
_atom_site_label
_atom_site_fract_x
_atom_site_fract_y
_atom_site_fract_z
_atom_site_occupancy
Ca1 0.0000 0.0000 0.0000 1
Ca2 0.0000 0.5000 0.2500 1
Ni1 0.0000 0.0000 0.5000 1
Ir1 0.0000 0.5000 0.7500 1
```



Density functional theory data (PBE) for TbNd3Er6Tm2 after structural relaxation.

Output
As for the mass density: 8.46 g/cm³. For the density of states at the Fermi level, the calculation gives 16.06 states/eV/f.u. The value obtained for the final energy is -109.97 eV/cell.

CIF file:
```
data_TbNd3Er6Tm2
_symmetry_space_group_name_H-M 'C 1 2/m 1'
_symmetry_Int_Tables_number 12
_symmetry_space_group_name_Hall '-C 2y'
_cell_length_a 6.1601
_cell_length_b 10.6624
_cell_length_c 11.7279
_cell_angle_alpha 90.00
_cell_angle_beta 100.06
_cell_angle_gamma 90.00
loop_
_atom_site_label
_atom_site_fract_x
_atom_site_fract_y
_atom_site_fract_z
_atom_site_occupancy
Tb1 0.0000 0.0000 0.0000 1
Nd1 0.0000 0.1668 0.5000 1
Nd2 0.0000 0.5000 0.5000 1
Er1 0.2482 0.5000 0.2456 1
Er2 0.2486 0.1668 0.2456 1
Tm1 0.0000 0.3332 0.0000 1
```



Density functional theory data (PBE) for Tb2PmPrTm5 after structural relaxation.

Output
As for the mass density: 8.34 g/cm³. For the density of states at the Fermi level, the calculation gives 10.31 states/eV/f.u. The value obtained for the final energy is -154.83 eV/cell.

CIF file:
```
data_Tb2PmPrTm5
_symmetry_space_group_name_H-M 'I 4/m c m'
_symmetry_Int_Tables_number 140
_symmetry_space_group_name_Hall '-I 4 2c'
_cell_length_a 8.7903
_cell_length_b 8.7903
_cell_length_c 14.9318
_cell_angle_alpha 90.00
_cell_angle_beta 90.00
_cell_angle_gamma 90.00
loop_
_atom_site_label
_atom_site_fract_x
_atom_site_fract_y
_atom_site_fract_z
_atom_site_occupancy
Tb1 0.1149 0.3851 0.0000 1
Pm1 0.0000 0.5000 0.2500 1
Pr1 0.0000 0.0000 0.2500 1
Tm1 0.0000 0.0000 0.0000 1
Tm2 0.2055 0.2945 0.3670 1
```



Density functional theory data (PBE) for Sb2RuRhI after structural relaxation.

Output
As for the mass density: 6.86 g/cm³. For the density of states at the Fermi level, the calculation gives 3.64 states/eV/f.u. As for the uncorrected formation energy: 0.9880 eV per atom. The value obtained for the final energy is -21.48 eV/cell. The energy above the lowest structure with this stoichiometry is 0.097 eV/atom.

CIF file:
```
data_Sb2RuRhI
_symmetry_space_group_name_H-M 'P 4/m m m'
_symmetry_Int_Tables_number 123
_symmetry_space_group_name_Hall '-P 4 2'
_cell_length_a 5.0510
_cell_length_b 5.0510
_cell_length_c 5.4477
_cell_angle_alpha 90.00
_cell_angle_beta 90.00
_cell_angle_gamma 90.00
loop_
_atom_site_label
_atom_site_fract_x
_atom_site_fract_y
_atom_site_fract_z
_atom_site_occupancy
Sb1 0.0000 0.5000 0.0000 1
Ru1 0.0000 0.0000 0.5000 1
Rh1 0.5000 0.5000 0.0000 1
I1 0.5000 0.5000 0.5000 1
```



Density functional theory data (PBE) for Tl4Sn2Br9 after structural relaxation.

Output
As for the mass density: 4.93 g/cm³. For the density of states at the Fermi level, the calculation gives 5.12 states/eV/f.u. As for the uncorrected formation energy: -0.7752 eV per atom. The value obtained for the final energy is -88.31 eV/cell.

CIF file:
```
data_Tl4Sn2Br9
_symmetry_space_group_name_H-M 'P -3'
_symmetry_Int_Tables_number 147
_symmetry_space_group_name_Hall '-P 3'
_cell_length_a 7.9768
_cell_length_b 7.9768
_cell_length_c 21.6656
_cell_angle_alpha 90.00
_cell_angle_beta 90.00
_cell_angle_gamma 120.00
loop_
_atom_site_label
_atom_site_fract_x
_atom_site_fract_y
_atom_site_fract_z
_atom_site_occupancy
Tl1 0.3333 0.6667 0.1812 1
Tl2 0.3333 0.6667 0.4785 1
Tl3 0.3333 0.6667 0.6825 1
Tl4 0.3333 0.6667 0.9840 1
Sn1 0.0000 0.0000 0.1558 1
Sn2 0.0000 0.0000 0.3482 1
Br1 0.0242 0.3205 0.0891 1
Br2 0.0421 0.7246 0.5822 1
Br3 0.0427 0.7442 0.2664 1
```